Here is a relaxed structure of MnCrB4 from Alexandria via LeMat-Bulk. Energies are from PBE.

The structure belongs to space group Pbam (No. 55); the cell edges are 5.940, 10.827 and 3.018 Å and the angles 90.00°, 90.00° and 90.00°. Symmetry generates all atoms from Mn at (0.139, 0.085, 0.000), Cr at (0.093, 0.368, 0.000), B at (0.012, 0.206, 0.500), B at (0.119, 0.940, 0.500), B at (0.132, 0.526, 0.500) and B at (0.193, 0.690, 0.500).

The total magnetization comes out at 3.3 μB/f.u. The energy of formation from the pure elements is -0.1330 eV per atom.

Here is a relaxed structure of BaTa2Al from Alexandria via LeMat-Bulk. Energies are from PBE.

The structure belongs to space group R-3m (No. 166, hexagonal axes); the cell edges are 3.0417, 3.0417 and 33.3980 Å and the angles 90.00°, 90.00° and 120.00°. Symmetry generates all atoms from Ba at (0.0000, 0.0000, 0.0000), Ta at (0.0000, 0.0000, 0.2361) and Al at (0.0000, 0.0000, 0.5000).

The total magnetization comes out at 0.0 μB/f.u. The energy of formation from the pure elements is 0.7566 eV per atom.